A plane-wave DFT calculation with GGA-PBE was carried out for a relaxed structure of SmMg2Al3Ge2Pt.

a = 4.182 Å, b = 6.854 Å, c = 6.854 Å
α = 120.38°, β = 90.00°, γ = 90.00°
Atoms (fractional coordinates):
Al  0.500  0.999  0.234
Al  0.500  0.764  0.764
Al  0.500  0.234  0.999
Ge  0.500  0.670  0.320
Ge  0.500  0.320  0.670
Mg  0.000  0.597  0.005
Mg  0.000  0.005  0.597
Pt  0.000  0.984  0.984
Sm  0.000  0.427  0.427

Calculated values
- Space group: Amm2, No. 38
- Calculated total energy: -4.44 eV/atom